# PBE RbCr, optimized geometry
# * ΔE_f: 0.826 eV/atom
# * total magnetization: 0.17 μB/f.u.
# * offset from the most stable computed form: 0 meV/atom
# * DOS(E_F): 0.70 states/eV per atom
data_RbCr
_chemical_formula_sum 'Rb8 Cr8'
_space_group_name_H-M_alt 'P n m a'
_space_group_IT_number 62
_cell_length_a 9.5956
_cell_length_b 4.6542
_cell_length_c 15.8263
_cell_angle_alpha 90.00
_cell_angle_beta 90.00
_cell_angle_gamma 90.00
loop_
_space_group_symop_operation_xyz
'x,y,z'
'-x,-y,-z'
'-x+1/2,-y,z+1/2'
'x+1/2,y,-z+1/2'
'x+1/2,-y+1/2,-z+1/2'
'-x+1/2,y+1/2,z+1/2'
'-x,y+1/2,-z'
'x,-y+1/2,z'
loop_
_atom_site_label
_atom_site_type_symbol
_atom_site_fract_x
_atom_site_fract_y
_atom_site_fract_z
Rb1 Rb 0.1621 0.2500 0.2260
Rb2 Rb 0.1865 0.2500 0.9475
Cr1 Cr 0.0064 0.2500 0.4475
Cr2 Cr 0.0709 0.2500 0.5934